Entry 1:
This record from Alexandria via LeMat-Bulk describes an optimized crystal structure of RbYAs2Br. The functional is PBE.

a b c (Å): 5.4396 5.4396 5.6808
angles (deg): 90.00 90.00 90.00
Last column: nearest neighbours and their distance in Å.
Element x y z (fractional)
Rb  0.0000  0.0000  0.0000  4 As 2.72, 2 Br 2.84
Y  0.5000  0.5000  0.5000  4 Br 3.85, 8 As 3.93
As  0.0000  0.5000  0.0000  2 Rb 2.72
As  0.5000  0.0000  0.0000  2 Rb 2.72
Br  0.0000  0.0000  0.5000  2 Rb 2.84

Its energy above the most stable polymorph in this dataset is 1.252 eV per atom. The crystal system is tetragonal. As for the uncorrected energy: -3.062 eV per atom.

Entry 2:
This record from Alexandria via LeMat-Bulk describes an optimized crystal structure of Rb2YAsBr6. The functional is PBE.

a b c (Å): 8.6032 8.6032 8.6032
angles (deg): 126.51 126.51 79.04
Last column: nearest neighbours and their distance in Å.
Element x y z (fractional)
Rb  0.2500  0.7500  0.5000  12 Br 3.91-4.30
Rb  0.7500  0.2500  0.5000  12 Br 3.91-4.30
Y  0.0000  0.0000  0.0000  6 Br 2.79-2.80
As  0.5000  0.5000  0.0000  4 Br 2.69
Br  0.2107  0.2107  0.0000  1 Y 2.80
Br  0.2547  0.2547  0.5094  1 As 2.69, 1 Y 2.79
Br  0.2547  0.7453  0.0000  1 As 2.69, 1 Y 2.79
Br  0.7453  0.2547  0.0000  1 As 2.69, 1 Y 2.79
Br  0.7453  0.7453  0.4906  1 As 2.69, 1 Y 2.79
Br  0.7893  0.7893  0.0000  1 Y 2.80

The crystal system is tetragonal. As for the uncorrected energy: -3.590 eV per atom.

Here are the calculated energy relative to the elements, uncorrected numbers, same order: 619; -1281 (meV per atom).
Here are the calculated DOS at the Fermi energy numbers, same order: 4.72; 0.00 (states/eV/f.u.).
Here are the calculated theoretical density numbers, same order: 3.99; 3.40 (g/cm3).